# CeYInAu

A relaxed CeYInAu crystal (GGA-PBE, Alexandria).

a b c (Å): 5.3094 5.3094 5.3094
angles (deg): 60.00 60.00 60.00
Fractional coordinates of all 4 atoms:
Ce (0.0000, 0.0000, 0.0000)
Y (0.5000, 0.5000, 0.5000)
In (0.2500, 0.2500, 0.2500)
Au (0.7500, 0.7500, 0.7500)

Results
Volume, Å³/f.u.: 106
Space group: F-43m
E, eV for the cell shown: -20.4
Formation enthalpy at 0 K, kJ/mol of formula units: -193

=====

# Ce2ZnInAu6

A relaxed Ce2ZnInAu6 crystal (GGA-PBE, Alexandria).

a b c (Å): 5.3127 6.2814 7.4168
angles (deg): 65.37 75.46 81.73
Fractional coordinates of all 10 atoms:
Ce (0.1148, 0.4450, 0.2272)
Ce (0.8852, 0.5550, 0.7728)
Zn (0.0000, 0.0000, 0.0000)
In (0.5000, 0.5000, 0.5000)
Au (0.1481, 0.8861, 0.3563)
Au (0.3504, 0.8588, 0.7212)
Au (0.3994, 0.2466, 0.9314)
Au (0.6006, 0.7534, 0.0686)
Au (0.6496, 0.1412, 0.2788)
Au (0.8519, 0.1139, 0.6437)

Results
Volume, Å³/f.u.: 218
Space group: P-1
E, eV for the cell shown: -39.5
Formation enthalpy at 0 K, kJ/mol of formula units: -382

=====

# Ce2Zn4InAu3

A relaxed Ce2Zn4InAu3 crystal (GGA-PBE, Alexandria).

a b c (Å): 4.2560 4.2560 11.6011
angles (deg): 90.00 90.00 90.00
Fractional coordinates of all 10 atoms:
Ce (0.0000, 0.5000, 0.2418)
Ce (0.5000, 0.0000, 0.7582)
Zn (0.0000, 0.0000, 0.0000)
Zn (0.0000, 0.5000, 0.6439)
Zn (0.5000, 0.0000, 0.3561)
Zn (0.5000, 0.5000, 0.0000)
In (0.0000, 0.0000, 0.5000)
Au (0.0000, 0.5000, 0.8628)
Au (0.5000, 0.0000, 0.1372)
Au (0.5000, 0.5000, 0.5000)

Results
Volume, Å³/f.u.: 210
Space group: P-4m2
E, eV for the cell shown: -33.8
Formation enthalpy at 0 K, kJ/mol of formula units: -411

=====

# CeZnIn2Au2

A relaxed CeZnIn2Au2 crystal (GGA-PBE, Alexandria).

a b c (Å): 8.2993 8.2993 8.2993
angles (deg): 144.01 144.01 51.81
Fractional coordinates of all 6 atoms:
Ce (0.0000, 0.0000, 0.0000)
Zn (0.5000, 0.5000, 0.0000)
In (0.2500, 0.7500, 0.5000)
In (0.7500, 0.2500, 0.5000)
Au (0.1873, 0.1873, 0.0000)
Au (0.8127, 0.8127, 0.0000)

Results
Volume, Å³/f.u.: 196
Space group: I4/mmm
E, eV for the cell shown: -18.4
Formation enthalpy at 0 K, kJ/mol of formula units: 83

=====

# CeZn2InAu5

A relaxed CeZn2InAu5 crystal (GGA-PBE, Alexandria).

a b c (Å): 4.9197 4.9197 7.8167
angles (deg): 90.00 90.00 90.00
Fractional coordinates of all 9 atoms:
Ce (0.0000, 0.0000, 0.0000)
Zn (0.5000, 0.5000, 0.3451)
Zn (0.5000, 0.5000, 0.6549)
In (0.0000, 0.0000, 0.5000)
Au (0.0000, 0.5000, 0.2420)
Au (0.0000, 0.5000, 0.7580)
Au (0.5000, 0.0000, 0.2420)
Au (0.5000, 0.0000, 0.7580)
Au (0.5000, 0.5000, 0.0000)

Results
Volume, Å³/f.u.: 189
Space group: P4/mmm
E, eV for the cell shown: -30.0
Formation enthalpy at 0 K, kJ/mol of formula units: -228

=====

# Ce6Ir3Au

A relaxed Ce6Ir3Au crystal (GGA-PBE, Alexandria).

a b c (Å): 8.8456 8.8456 7.1960
angles (deg): 90.00 90.00 105.10
Fractional coordinates of all 20 atoms:
Ce (0.0089, 0.9911, 0.5000)
Ce (0.0988, 0.5317, 0.4520)
Ce (0.2313, 0.7687, 0.8398)
Ce (0.2891, 0.3665, 0.8865)
Ce (0.3665, 0.2891, 0.3865)
Ce (0.4683, 0.9012, 0.4520)
Ce (0.5317, 0.0988, 0.9520)
Ce (0.6335, 0.7109, 0.8865)
Ce (0.7109, 0.6335, 0.3865)
Ce (0.7687, 0.2313, 0.3398)
Ce (0.9012, 0.4683, 0.9520)
Ce (0.9911, 0.0089, 0.0000)
Ir (0.0772, 0.2917, 0.1999)
Ir (0.2917, 0.0772, 0.6999)
Ir (0.4045, 0.5955, 0.6061)
Ir (0.5955, 0.4045, 0.1061)
Ir (0.7083, 0.9228, 0.1999)
Ir (0.9228, 0.7083, 0.6999)
Au (0.1712, 0.8288, 0.2298)
Au (0.8288, 0.1712, 0.7298)

Results
Volume, Å³/f.u.: 272
E above lowest polymorph, meV per atom: 79
Space group: Cmc2_1
E, eV for the cell shown: -141.0
Formation enthalpy at 0 K, kJ/mol of formula units: -484

=====

# Ce3Ir2Au

A relaxed Ce3Ir2Au crystal (GGA-PBE, Alexandria).

a b c (Å): 8.2328 8.2328 4.9834
angles (deg): 90.00 90.00 48.41
Fractional coordinates of all 12 atoms:
Ce (0.1283, 0.8717, 0.7500)
Ce (0.1755, 0.4755, 0.7500)
Ce (0.4755, 0.1755, 0.2500)
Ce (0.5245, 0.8245, 0.7500)
Ce (0.8245, 0.5245, 0.2500)
Ce (0.8717, 0.1283, 0.2500)
Ir (0.0439, 0.2608, 0.7500)
Ir (0.2608, 0.0439, 0.2500)
Ir (0.7392, 0.9561, 0.7500)
Ir (0.9561, 0.7392, 0.2500)
Au (0.3872, 0.6128, 0.2500)
Au (0.6128, 0.3872, 0.7500)

Results
Volume, Å³/f.u.: 126
E above lowest polymorph, meV per atom: 62
Space group: Cmcm
E, eV for the cell shown: -85.2
Formation enthalpy at 0 K, kJ/mol of formula units: -368

=====

# Ce2IrAu

A relaxed Ce2IrAu crystal (GGA-PBE, Alexandria).

a b c (Å): 3.5548 3.5548 7.3313
angles (deg): 90.00 90.00 90.00
Fractional coordinates of all 4 atoms:
Ce (0.0000, 0.0000, 0.2267)
Ce (0.0000, 0.0000, 0.7733)
Ir (0.5000, 0.5000, 0.0000)
Au (0.5000, 0.5000, 0.5000)

Results
Volume, Å³/f.u.: 93
Space group: P4/mmm
E, eV for the cell shown: -26.6
Formation enthalpy at 0 K, kJ/mol of formula units: -250

=====

# Ce7Ir2Au2

A relaxed Ce7Ir2Au2 crystal (GGA-PBE, Alexandria).

a b c (Å): 9.3383 9.3383 9.3383
angles (deg): 156.48 68.69 116.52
Fractional coordinates of all 11 atoms:
Ce (0.0000, 0.0000, 0.0000)
Ce (0.2851, 0.4117, 0.8734)
Ce (0.3123, 0.6283, 0.6840)
Ce (0.5384, 0.4117, 0.1266)
Ce (0.6176, 0.2599, 0.3577)
Ce (0.9022, 0.2599, 0.6423)
Ce (0.9443, 0.6283, 0.3160)
Ir (0.1620, 0.9312, 0.2308)
Ir (0.7004, 0.9312, 0.7692)
Au (0.2577, 0.7577, 0.5000)
Au (0.6606, 0.6606, 0.0000)

Results
Volume, Å³/f.u.: 288
E above lowest polymorph, meV per atom: 0
Space group: Imm2
E, eV for the cell shown: -71.2
Formation enthalpy at 0 K, kJ/mol of formula units: -519

=====

# Ce12IrAu6

A relaxed Ce12IrAu6 crystal (GGA-PBE, Alexandria).

a b c (Å): 7.8045 7.8045 7.8045
angles (deg): 93.93 93.93 93.93
Fractional coordinates of all 19 atoms:
Ce (0.0402, 0.9446, 0.6605)
Ce (0.0554, 0.3395, 0.9598)
Ce (0.1342, 0.3794, 0.4685)
Ce (0.3395, 0.9598, 0.0554)
Ce (0.3794, 0.4685, 0.1342)
Ce (0.4685, 0.1342, 0.3794)
Ce (0.5315, 0.8658, 0.6206)
Ce (0.6206, 0.5315, 0.8658)
Ce (0.6605, 0.0402, 0.9446)
Ce (0.8658, 0.6206, 0.5315)
Ce (0.9446, 0.6605, 0.0402)
Ce (0.9598, 0.0554, 0.3395)
Ir (0.5000, 0.5000, 0.5000)
Au (0.2214, 0.7579, 0.3631)
Au (0.2421, 0.6369, 0.7786)
Au (0.3631, 0.2214, 0.7579)
Au (0.6369, 0.7786, 0.2421)
Au (0.7579, 0.3631, 0.2214)
Au (0.7786, 0.2421, 0.6369)

Results
Volume, Å³/f.u.: 472
Space group: R-3
E, eV for the cell shown: -106.8
Formation enthalpy at 0 K, kJ/mol of formula units: -681

=====

# Ce7Ir2Au2

A relaxed Ce7Ir2Au2 crystal (GGA-PBE, Alexandria).

a b c (Å): 6.8014 6.8014 6.6890
angles (deg): 90.00 90.00 106.48
Fractional coordinates of all 11 atoms:
Ce (0.0000, 0.0000, 0.0000)
Ce (0.0000, 0.5000, 0.2796)
Ce (0.0000, 0.5000, 0.7204)
Ce (0.5000, 0.0000, 0.2796)
Ce (0.5000, 0.0000, 0.7204)
Ce (0.5000, 0.5000, 0.2803)
Ce (0.5000, 0.5000, 0.7197)
Ir (0.2891, 0.7109, 0.0000)
Ir (0.7109, 0.2891, 0.0000)
Au (0.1681, 0.1681, 0.5000)
Au (0.8319, 0.8319, 0.5000)

Results
Volume, Å³/f.u.: 297
E above lowest polymorph, meV per atom: 85
Space group: Cmmm
E, eV for the cell shown: -70.3
Formation enthalpy at 0 K, kJ/mol of formula units: -429

=====

# CeIr2Au

A relaxed CeIr2Au crystal (GGA-PBE, Alexandria).

a b c (Å): 4.2462 4.2462 3.9933
angles (deg): 90.00 90.00 90.00
Fractional coordinates of all 4 atoms:
Ce (0.0000, 0.0000, 0.0000)
Ir (0.0000, 0.5000, 0.5000)
Ir (0.5000, 0.0000, 0.5000)
Au (0.5000, 0.5000, 0.0000)

Results
Volume, Å³/f.u.: 72
Space group: P4/mmm
E, eV for the cell shown: -28.8
Formation enthalpy at 0 K, kJ/mol of formula units: -181